PrFeO3: optimized geometry, PBE with a Hubbard U.

Properties
Calculated total energy, eV per atom: -7.240
Theoretical density, g/cm³: 6.41

a = 5.357 Å, b = 6.027 Å, c = 7.954 Å
α = 98.92°, β = 90.00°, γ = 90.00°
Sites, in units of the cell vectors:
O 0.433 0.199 0.556
O 0.039 0.953 0.333
O 0.961 0.047 0.667
O 0.567 0.801 0.444
O 0.193 0.607 0.612
Pr 0.757 0.654 0.668
O 0.067 0.199 0.056
Fe 0.242 0.909 0.058
Fe 0.758 0.091 0.942
O 0.933 0.801 0.944
Fe 0.258 0.909 0.558
Pr 0.243 0.346 0.332
O 0.693 0.393 0.888
O 0.539 0.047 0.167
Pr 0.257 0.346 0.832
Fe 0.742 0.091 0.442
Pr 0.743 0.654 0.168
O 0.807 0.393 0.388
O 0.461 0.953 0.833
O 0.307 0.607 0.112

Pr2Fe2O5: optimized geometry, PBE with a Hubbard U.

Properties
Calculated total energy, eV per atom: -7.442
Theoretical density, g/cm³: 6.13

a = 5.600 Å, b = 5.862 Å, c = 8.801 Å
α = 109.40°, β = 108.50°, γ = 90.14°
Sites, in units of the cell vectors:
Fe 0.699 0.205 0.000
Fe 0.301 0.795 0.000
O 0.690 0.218 0.780
O 0.315 0.159 0.000
O 0.090 0.562 0.780
O 0.685 0.841 0.000
O 0.719 0.219 0.437
Pr 0.087 0.131 0.720
Fe 0.000 0.500 0.500
O 0.310 0.782 0.220
O 0.910 0.438 0.220
Pr 0.633 0.589 0.720
O 0.757 0.757 0.514
Pr 0.367 0.411 0.280
O 0.281 0.781 0.563
Pr 0.913 0.869 0.280
Fe 0.500 0.000 0.500
O 0.243 0.243 0.486

Pr2Fe3O8: optimized geometry, PBE with a Hubbard U.

Properties
Calculated total energy, eV per atom: -7.072
Theoretical density, g/cm³: 5.24

a = 3.869 Å, b = 3.869 Å, c = 12.230 Å
α = 90.00°, β = 90.00°, γ = 90.00°
Sites, in units of the cell vectors:
O 0.000 0.500 0.000
O 0.000 0.500 0.686
Fe 0.500 0.500 0.321
O 0.500 0.000 0.314
O 0.000 0.500 0.314
O 0.500 0.000 0.000
O 0.500 0.500 0.161
O 0.500 0.500 0.839
Pr 0.000 0.000 0.826
Fe 0.500 0.500 0.679
Pr 0.000 0.000 0.174
O 0.500 0.000 0.686
Fe 0.500 0.500 0.000

Pr3Fe5O12: optimized geometry, PBE with a Hubbard U.

Properties
Calculated total energy, eV per atom: -7.056
Theoretical density, g/cm³: 5.79

a = 11.006 Å, b = 11.006 Å, c = 11.006 Å
α = 109.47°, β = 109.47°, γ = 109.47°
Sites, in units of the cell vectors:
Pr 0.750 0.125 0.375
O 0.580 0.905 0.382
O 0.382 0.302 0.478
O 0.175 0.198 0.580
O 0.978 0.675 0.095
O 0.618 0.420 0.095
O 0.920 0.302 0.325
Fe 0.500 0.000 0.000
O 0.825 0.522 0.405
Fe 0.250 0.125 0.875
Pr 0.875 0.750 0.625
O 0.478 0.382 0.302
Fe 0.375 0.625 0.750
O 0.698 0.522 0.618
Fe 0.125 0.750 0.875
Fe 0.500 0.500 0.500
O 0.198 0.118 0.022
O 0.882 0.405 0.080
Pr 0.125 0.250 0.375
Pr 0.875 0.625 0.250
O 0.522 0.405 0.825
O 0.920 0.118 0.595
Pr 0.250 0.375 0.125
Fe 0.125 0.875 0.250
O 0.175 0.478 0.595
O 0.198 0.580 0.175
Pr 0.750 0.625 0.875
Fe 0.000 0.000 0.000
O 0.325 0.905 0.022
O 0.905 0.382 0.580
Fe 0.625 0.750 0.375
O 0.420 0.095 0.618
O 0.095 0.618 0.420
O 0.595 0.175 0.478
O 0.522 0.618 0.698
O 0.420 0.825 0.802
Pr 0.250 0.875 0.625
Fe 0.500 0.000 0.500
Fe 0.375 0.250 0.625
O 0.022 0.198 0.118
Fe 0.000 0.000 0.500
Fe 0.875 0.125 0.750
Fe 0.500 0.500 0.000
O 0.825 0.802 0.420
Pr 0.375 0.750 0.125
Pr 0.375 0.125 0.250
O 0.478 0.595 0.175
O 0.882 0.978 0.802
O 0.905 0.022 0.325
Fe 0.000 0.500 0.500
O 0.080 0.882 0.405
Fe 0.000 0.500 0.000
Fe 0.250 0.625 0.375
Fe 0.875 0.250 0.125
O 0.325 0.920 0.302
O 0.618 0.698 0.522
O 0.802 0.420 0.825
Pr 0.625 0.250 0.875
O 0.675 0.095 0.978
Pr 0.125 0.375 0.750
O 0.580 0.175 0.198
O 0.675 0.080 0.698
O 0.080 0.698 0.675
O 0.118 0.022 0.198
O 0.302 0.325 0.920
O 0.095 0.978 0.675
O 0.802 0.882 0.978
O 0.698 0.675 0.080
Fe 0.750 0.875 0.125
O 0.022 0.325 0.905
Pr 0.625 0.875 0.750
O 0.405 0.080 0.882
O 0.595 0.920 0.118
Fe 0.750 0.375 0.625
O 0.118 0.595 0.920
O 0.302 0.478 0.382
Fe 0.625 0.375 0.250
O 0.405 0.825 0.522
O 0.382 0.580 0.905
O 0.978 0.802 0.882

PrFeO3: optimized geometry, PBE with a Hubbard U.

Properties
Calculated total energy, eV per atom: -7.514
Theoretical density, g/cm³: 6.53

a = 5.536 Å, b = 5.694 Å, c = 7.897 Å
α = 90.00°, β = 90.00°, γ = 90.00°
Sites, in units of the cell vectors:
O 0.910 0.526 0.750
Fe 0.000 0.500 0.500
O 0.706 0.294 0.048
O 0.794 0.794 0.452
Fe 0.000 0.500 0.000
Pr 0.487 0.448 0.750
Pr 0.013 0.948 0.750
O 0.206 0.206 0.952
O 0.590 0.026 0.750
Fe 0.500 0.000 0.000
O 0.294 0.706 0.952
O 0.206 0.206 0.548
O 0.794 0.794 0.048
O 0.706 0.294 0.452
O 0.090 0.474 0.250
Pr 0.513 0.552 0.250
O 0.410 0.974 0.250
O 0.294 0.706 0.548
Fe 0.500 0.000 0.500
Pr 0.987 0.052 0.250

PrPuFe2O8: optimized geometry, PBE with a Hubbard U.

Properties
Calculated total energy, eV per atom: -7.772
Theoretical density, g/cm³: 6.17

a = 6.025 Å, b = 6.025 Å, c = 6.025 Å
α = 108.21°, β = 108.21°, γ = 112.02°
Sites, in units of the cell vectors:
Fe 0.750 0.250 0.500
O 0.950 0.277 0.326
Fe 0.500 0.500 0.000
O 0.376 0.050 0.326
O 0.723 0.050 0.674
O 0.481 0.685 0.795
O 0.890 0.685 0.205
Pu 0.250 0.750 0.500
O 0.315 0.110 0.795
O 0.950 0.624 0.674
O 0.315 0.519 0.205
Pr 0.000 0.000 0.000

Rb4Pr3FeO8: optimized geometry, PBE with a Hubbard U.

Properties
Calculated total energy, eV per atom: -6.126
Theoretical density, g/cm³: 5.38

a = 7.161 Å, b = 7.776 Å, c = 7.167 Å
α = 117.46°, β = 119.97°, γ = 90.00°
Sites, in units of the cell vectors:
Pr 0.500 0.500 0.500
Pr 0.000 0.500 0.500
O 0.272 0.315 0.544
O 0.214 0.677 0.428
O 0.786 0.323 0.572
Rb 0.000 0.000 0.000
Fe 0.000 0.500 0.000
O 0.788 0.324 0.037
Rb 0.000 0.000 0.500
O 0.212 0.676 0.963
Rb 0.500 0.000 0.000
O 0.249 0.324 0.037
Rb 0.500 0.000 0.500
O 0.728 0.685 0.456
Pr 0.500 0.500 0.000
O 0.751 0.676 0.963

Rb2PrFeO4: optimized geometry, PBE with a Hubbard U.

Properties
Calculated total energy, eV per atom: -5.848
Theoretical density, g/cm³: 4.70

a = 5.866 Å, b = 5.866 Å, c = 5.866 Å
α = 100.13°, β = 114.34°, γ = 114.34°
Sites, in units of the cell vectors:
Fe 0.000 0.500 0.500
O 0.391 0.820 0.717
Rb 0.000 0.000 0.000
Rb 0.500 0.750 0.250
Pr 0.500 0.250 0.750
O 0.609 0.326 0.429
O 0.898 0.571 0.180
O 0.102 0.283 0.674

SrPrFeRuO6: optimized geometry, PBE with a Hubbard U.

Properties
Calculated total energy, eV per atom: -7.226
Theoretical density, g/cm³: 6.40

a = 5.653 Å, b = 5.586 Å, c = 9.682 Å
α = 54.81°, β = 90.00°, γ = 90.00°
Sites, in units of the cell vectors:
O 0.458 0.250 0.541
Ru 0.748 0.000 0.000
Fe 0.254 0.500 0.000
O 0.540 0.836 0.458
O 0.972 0.183 0.537
Sr 0.717 0.755 0.750
O 0.029 0.759 0.464
Fe 0.746 0.500 0.500
O 0.971 0.759 0.964
O 0.261 0.667 0.750
O 0.739 0.667 0.250
O 0.230 0.312 0.251
O 0.460 0.836 0.958
Pr 0.204 0.239 0.750
O 0.542 0.250 0.041
O 0.028 0.183 0.037
Pr 0.796 0.239 0.250
Sr 0.283 0.755 0.250
O 0.770 0.312 0.751
Ru 0.252 0.000 0.500

PrFeS2O8: optimized geometry, PBE with a Hubbard U.

Properties
Calculated total energy, eV per atom: -6.485
Theoretical density, g/cm³: 3.86

a = 5.235 Å, b = 5.235 Å, c = 7.046 Å
α = 90.00°, β = 90.00°, γ = 120.00°
Sites, in units of the cell vectors:
O 0.333 0.667 0.508
O 0.646 0.823 0.786
O 0.177 0.354 0.786
Fe 0.000 0.000 0.000
O 0.823 0.177 0.214
O 0.667 0.333 0.492
S 0.333 0.667 0.720
S 0.667 0.333 0.280
O 0.177 0.823 0.786
O 0.823 0.646 0.214
O 0.354 0.177 0.214
Pr 0.000 0.000 0.500

Pr2Fe2S2O3: optimized geometry, PBE with a Hubbard U.

Properties
Calculated total energy, eV per atom: -6.978
Theoretical density, g/cm³: 5.61

a = 9.455 Å, b = 9.455 Å, c = 9.455 Å
α = 155.10°, β = 155.10°, γ = 35.50°
Sites, in units of the cell vectors:
O 0.500 0.500 0.000
Pr 0.683 0.683 0.000
Fe 0.000 0.500 0.500
O 0.250 0.750 0.500
Fe 0.500 0.000 0.500
S 0.095 0.095 0.000
Pr 0.317 0.317 0.000
O 0.750 0.250 0.500
S 0.905 0.905 0.000

PrFe2SbO6: optimized geometry, PBE with a Hubbard U.

Properties
Calculated total energy, eV per atom: -6.904
Theoretical density, g/cm³: 5.99

a = 5.542 Å, b = 5.522 Å, c = 5.855 Å
α = 61.79°, β = 62.34°, γ = 59.84°
Sites, in units of the cell vectors:
Pr 0.799 0.800 0.591
O 0.946 0.581 0.236
Fe 0.013 0.017 0.955
O 0.593 0.235 0.230
O 0.248 0.935 0.238
O 0.369 0.709 0.773
Sb 0.321 0.319 0.040
O 0.148 0.372 0.772
Fe 0.524 0.533 0.422
O 0.702 0.160 0.759

Pr2FeSbO7: optimized geometry, PBE with a Hubbard U.

Properties
Calculated total energy, eV per atom: -7.308
Theoretical density, g/cm³: 6.37

a = 7.494 Å, b = 7.494 Å, c = 7.494 Å
α = 120.27°, β = 119.53°, γ = 90.18°
Sites, in units of the cell vectors:
O 0.665 0.426 0.842
O 0.335 0.574 0.158
O 0.624 0.874 0.750
Pr 0.500 0.000 0.500
Fe 0.000 0.000 0.500
O 0.916 0.177 0.342
O 0.084 0.823 0.658
O 0.335 0.177 0.761
O 0.665 0.823 0.239
O 0.917 0.167 0.750
O 0.674 0.424 0.250
O 0.916 0.574 0.739
Pr 0.000 0.000 0.000
O 0.326 0.576 0.750
O 0.084 0.426 0.261
O 0.376 0.126 0.250
O 0.083 0.833 0.250
Sb 0.500 0.500 0.000
Sb 0.000 0.500 0.500
Pr 0.500 0.000 0.000
Fe 0.000 0.500 0.000
Pr 0.500 0.500 0.500

Pr2FeSiO6: optimized geometry, PBE with a Hubbard U.

Properties
Calculated total energy, eV per atom: -7.671
Theoretical density, g/cm³: 6.35

a = 4.239 Å, b = 5.338 Å, c = 5.338 Å
α = 90.00°, β = 90.00°, γ = 90.00°
Sites, in units of the cell vectors:
O 0.688 0.227 0.773
O 0.688 0.227 0.227
Pr 0.064 0.500 0.000
Si 0.602 0.000 0.000
O 0.688 0.773 0.773
O 0.205 0.000 0.000
Fe 0.621 0.500 0.500
O 0.136 0.500 0.500
O 0.688 0.773 0.227
Pr 0.064 0.000 0.500

SrPrFe2O5: optimized geometry, PBE with a Hubbard U.

Properties
Calculated total energy, eV per atom: -6.966
Theoretical density, g/cm³: 5.72

a = 3.991 Å, b = 3.991 Å, c = 7.654 Å
α = 90.00°, β = 90.00°, γ = 90.00°
Sites, in units of the cell vectors:
O 0.000 0.500 0.201
Pr 0.000 0.000 0.000
O 0.500 0.000 0.799
Sr 0.000 0.000 0.500
Fe 0.500 0.500 0.759
O 0.500 0.500 0.500
O 0.000 0.500 0.799
O 0.500 0.000 0.201
Fe 0.500 0.500 0.241